First-principles (GGA-PBE) data for an optimized crystal structure of Al2SiNi, as listed in Alexandria.

- E (eV per formula unit) = -19.49
- symmetry = P4mm (99)
- uncorrected formation energy (meV/atom) = -200
- E above lowest polymorph (eV per atom) = 0.1139

Unit cell a=2.7573 b=2.7573 c=7.3314 alpha=90.00 beta=90.00 gamma=90.00
Positions (direct):
Al  0.0000  0.0000  0.0000
Al  0.5000  0.5000  0.2917
Si  0.5000  0.5000  0.7112
Ni  0.0000  0.0000  0.5185